Entry 1:
## Nb3CuNi (PBE)

Data for crystalline Nb3CuNi at its relaxed geometry.

Cell lengths 4.5959, 4.5959, 4.5959 Å; angles 90.00, 90.00, 90.00 degrees
With the nearest neighbours (Å) after each atom.
Fractional coordinates of all 5 atoms:
Nb1 0.0000 0.0000 0.5000  2 Ni 2.30
Nb2 0.0000 0.5000 0.0000  2 Ni 2.30
Nb3 0.5000 0.0000 0.0000  2 Ni 2.30
Cu1 0.5000 0.5000 0.5000  12 Nb 3.25
Ni1 0.0000 0.0000 0.0000  6 Nb 2.30

Energy relative to the lowest polymorph listed for this composition ... 0 meV per atom
SG ... Pm-3m (221)
E_tot ... -7.03 eV per atom
Fermi-level density of states ... 7.70 states/eV/cell
ΔH_f (0 K) ... 0.985 eV/atom


Entry 2:
## NbCu2Ni5 (PBE)

Data for crystalline NbCu2Ni5 at its relaxed geometry.

Cell lengths 3.6712, 3.6712, 14.1643 Å; angles 90.00, 90.00, 90.00 degrees
With the nearest neighbours (Å) after each atom.
Fractional coordinates of all 16 atoms:
Nb1 0.0000 0.0000 0.0000  12 Ni 2.57-2.60
Nb2 0.5000 0.5000 0.5000  12 Ni 2.57-2.60
Cu1 0.0000 0.0000 0.2522  8 Ni 2.51-2.55, 4 Cu 2.60
Cu2 0.0000 0.0000 0.7478  8 Ni 2.51-2.55, 4 Cu 2.60
Cu3 0.5000 0.5000 0.2478  8 Ni 2.51-2.55, 4 Cu 2.60
Cu4 0.5000 0.5000 0.7522  8 Ni 2.51-2.55, 4 Cu 2.60
Ni1 0.0000 0.0000 0.5000  8 Ni 2.57, 4 Nb 2.60
Ni2 0.0000 0.5000 0.1269  4 Cu 2.51-2.55, 2 Nb 2.57, 6 Ni 2.57-2.60
Ni3 0.0000 0.5000 0.3731  4 Cu 2.51-2.55, 2 Nb 2.57, 6 Ni 2.57-2.60
Ni4 0.0000 0.5000 0.6269  4 Cu 2.51-2.55, 2 Nb 2.57, 6 Ni 2.57-2.60
Ni5 0.0000 0.5000 0.8731  4 Cu 2.51-2.55, 2 Nb 2.57, 6 Ni 2.57-2.60
Ni6 0.5000 0.0000 0.1269  4 Cu 2.51-2.55, 2 Nb 2.57, 6 Ni 2.57-2.60
Ni7 0.5000 0.0000 0.3731  4 Cu 2.51-2.55, 2 Nb 2.57, 6 Ni 2.57-2.60
Ni8 0.5000 0.0000 0.6269  4 Cu 2.51-2.55, 2 Nb 2.57, 6 Ni 2.57-2.60
Ni9 0.5000 0.0000 0.8731  4 Cu 2.51-2.55, 2 Nb 2.57, 6 Ni 2.57-2.60
Ni10 0.5000 0.5000 0.0000  8 Ni 2.57, 4 Nb 2.60

SG ... I4/mmm (139)
E_tot ... -6.03 eV per atom
Fermi-level density of states ... 8.72 states/eV/cell
ΔH_f (0 K) ... -0.138 eV/atom


Entry 3:
## NbCu4Ni15 (PBE)

Data for crystalline NbCu4Ni15 at its relaxed geometry.

Cell lengths 3.5885, 3.5885, 17.6769 Å; angles 90.00, 90.00, 90.00 degrees
With the nearest neighbours (Å) after each atom.
Fractional coordinates of all 20 atoms:
Nb1 0.0000 0.0000 0.0000  12 Ni 2.54-2.58
Cu1 0.0000 0.0000 0.2052  12 Ni 2.49-2.54
Cu2 0.0000 0.0000 0.4016  12 Ni 2.50-2.54
Cu3 0.0000 0.0000 0.5984  12 Ni 2.50-2.54
Cu4 0.0000 0.0000 0.7948  12 Ni 2.49-2.54
Ni1 0.0000 0.5000 0.1049  8 Ni 2.52-2.58, 2 Cu 2.52, 2 Nb 2.58
Ni2 0.0000 0.5000 0.3032  4 Cu 2.49-2.50, 8 Ni 2.50-2.54
Ni3 0.0000 0.5000 0.5000  8 Ni 2.50-2.54, 4 Cu 2.50
Ni4 0.0000 0.5000 0.6968  4 Cu 2.49-2.50, 8 Ni 2.50-2.54
Ni5 0.0000 0.5000 0.8951  8 Ni 2.52-2.58, 2 Cu 2.52, 2 Nb 2.58
Ni6 0.5000 0.0000 0.1049  8 Ni 2.52-2.58, 2 Cu 2.52, 2 Nb 2.58
Ni7 0.5000 0.0000 0.3032  4 Cu 2.49-2.50, 8 Ni 2.50-2.54
Ni8 0.5000 0.0000 0.5000  8 Ni 2.50-2.54, 4 Cu 2.50
Ni9 0.5000 0.0000 0.6968  4 Cu 2.49-2.50, 8 Ni 2.50-2.54
Ni10 0.5000 0.0000 0.8951  8 Ni 2.52-2.58, 2 Cu 2.52, 2 Nb 2.58
Ni11 0.5000 0.5000 0.0000  4 Nb 2.54, 8 Ni 2.58
Ni12 0.5000 0.5000 0.2046  8 Ni 2.50-2.52, 4 Cu 2.54
Ni13 0.5000 0.5000 0.4017  8 Ni 2.50, 4 Cu 2.54
Ni14 0.5000 0.5000 0.5983  8 Ni 2.50, 4 Cu 2.54
Ni15 0.5000 0.5000 0.7954  8 Ni 2.50-2.52, 4 Cu 2.54

SG ... P4/mmm (123)
E_tot ... -5.69 eV per atom
Fermi-level density of states ... 24.52 states/eV/cell
ΔH_f (0 K) ... -0.031 eV/atom


Entry 4:
## NbCu2Ni6 (PBE)

Data for crystalline NbCu2Ni6 at its relaxed geometry.

Cell lengths 7.0256, 7.0256, 2.5409 Å; angles 90.00, 90.00, 120.00 degrees
With the nearest neighbours (Å) after each atom.
Fractional coordinates of all 9 atoms:
Nb1 0.0000 0.0000 0.0000  9 Ni 2.50-2.57, 2 Nb 2.54
Cu1 0.3333 0.6667 0.5000  9 Ni 2.40-2.60, 2 Cu 2.54
Cu2 0.6667 0.3333 0.5000  9 Ni 2.40-2.60, 2 Cu 2.54
Ni1 0.0000 0.3560 0.0000  1 Nb 2.50, 8 Ni 2.54-2.70, 4 Cu 2.60
Ni2 0.0000 0.6826 0.5000  2 Cu 2.40, 4 Ni 2.54-2.62, 2 Nb 2.57
Ni3 0.3174 0.3174 0.5000  2 Cu 2.40, 4 Ni 2.54-2.62, 2 Nb 2.57
Ni4 0.3560 0.0000 0.0000  1 Nb 2.50, 8 Ni 2.54-2.70, 4 Cu 2.60
Ni5 0.6440 0.6440 0.0000  1 Nb 2.50, 8 Ni 2.54-2.70, 4 Cu 2.60
Ni6 0.6826 0.0000 0.5000  2 Cu 2.40, 4 Ni 2.54-2.62, 2 Nb 2.57

SG ... P-62m (189)
E_tot ... -5.85 eV per atom
Fermi-level density of states ... 5.58 states/eV/cell
ΔH_f (0 K) ... 0.036 eV/atom


Entry 5:
## NbCuNi4 (PBE)

Data for crystalline NbCuNi4 at its relaxed geometry.

Cell lengths 4.6967, 4.6967, 4.6967 Å; angles 60.00, 60.00, 60.00 degrees
With the nearest neighbours (Å) after each atom.
Fractional coordinates of all 6 atoms:
Nb1 0.0000 0.0000 0.0000  12 Ni 2.75, 4 Cu 2.88
Cu1 0.7500 0.7500 0.7500  12 Ni 2.75, 4 Nb 2.88
Ni1 0.3755 0.3755 0.3755  6 Ni 2.34-2.36
Ni2 0.3755 0.3755 0.8736  6 Ni 2.34-2.36
Ni3 0.3755 0.8736 0.3755  6 Ni 2.34-2.36
Ni4 0.8736 0.3755 0.3755  6 Ni 2.34-2.36

Energy relative to the lowest polymorph listed for this composition ... 0 meV per atom
SG ... F-43m (216)
E_tot ... -6.40 eV per atom
Fermi-level density of states ... 3.29 states/eV/cell
ΔH_f (0 K) ... -0.186 eV/atom


Entry 6:
## Nb2Cu2Ni15 (PBE)

Data for crystalline Nb2Cu2Ni15 at its relaxed geometry.

Cell lengths 6.1505, 6.1505, 6.1505 Å; angles 82.20, 82.20, 82.20 degrees
With the nearest neighbours (Å) after each atom.
Fractional coordinates of all 19 atoms:
Nb1 0.1493 0.1493 0.1493  12 Ni 2.77-2.97, 1 Cu 3.01
Nb2 0.8507 0.8507 0.8507  12 Ni 2.77-2.97, 1 Cu 3.01
Cu1 0.3996 0.3996 0.3996  1 Cu 2.41, 6 Ni 2.47-2.55
Cu2 0.6004 0.6004 0.6004  1 Cu 2.41, 6 Ni 2.47-2.55
Ni1 0.0000 0.5000 0.5000  8 Ni 2.36-2.38, 2 Cu 2.47
Ni2 0.1543 0.1543 0.6650  8 Ni 2.29-2.47, 1 Cu 2.55
Ni3 0.1543 0.6650 0.1543  8 Ni 2.29-2.47, 1 Cu 2.55
Ni4 0.1836 0.5000 0.8164  8 Ni 2.38-2.56
Ni5 0.1836 0.8164 0.5000  8 Ni 2.38-2.56
Ni6 0.3350 0.8457 0.8457  8 Ni 2.29-2.47, 1 Cu 2.55
Ni7 0.5000 0.0000 0.5000  8 Ni 2.36-2.38, 2 Cu 2.47
Ni8 0.5000 0.1836 0.8164  8 Ni 2.38-2.56
Ni9 0.5000 0.5000 0.0000  8 Ni 2.36-2.38, 2 Cu 2.47
Ni10 0.5000 0.8164 0.1836  8 Ni 2.38-2.56
Ni11 0.6650 0.1543 0.1543  8 Ni 2.29-2.47, 1 Cu 2.55
Ni12 0.8164 0.1836 0.5000  8 Ni 2.38-2.56
Ni13 0.8164 0.5000 0.1836  8 Ni 2.38-2.56
Ni14 0.8457 0.3350 0.8457  8 Ni 2.29-2.47, 1 Cu 2.55
Ni15 0.8457 0.8457 0.3350  8 Ni 2.29-2.47, 1 Cu 2.55

SG ... R-3m (166)
E_tot ... -6.05 eV per atom
Fermi-level density of states ... 24.87 states/eV/cell
ΔH_f (0 K) ... 0.006 eV/atom


Entry 7:
## NbCuNiOs (PBE)

Data for crystalline NbCuNiOs at its relaxed geometry.

Cell lengths 6.0954, 6.0954, 6.0954 Å; angles 90.00, 90.00, 90.00 degrees
With the nearest neighbours (Å) after each atom.
Fractional coordinates of all 16 atoms:
Nb1 0.0000 0.0000 0.0000  4 Ni 2.64, 4 Os 2.64
Nb2 0.0000 0.5000 0.5000  4 Ni 2.64, 4 Os 2.64
Nb3 0.5000 0.0000 0.5000  4 Ni 2.64, 4 Os 2.64
Nb4 0.5000 0.5000 0.0000  4 Ni 2.64, 4 Os 2.64
Cu1 0.0000 0.0000 0.5000  4 Os 2.64, 4 Ni 2.64
Cu2 0.0000 0.5000 0.0000  4 Os 2.64, 4 Ni 2.64
Cu3 0.5000 0.0000 0.0000  4 Os 2.64, 4 Ni 2.64
Cu4 0.5000 0.5000 0.5000  4 Os 2.64, 4 Ni 2.64
Ni1 0.2500 0.2500 0.2500  4 Cu 2.64, 4 Nb 2.64
Ni2 0.2500 0.7500 0.7500  4 Nb 2.64, 4 Cu 2.64
Ni3 0.7500 0.2500 0.7500  4 Nb 2.64, 4 Cu 2.64
Ni4 0.7500 0.7500 0.2500  4 Cu 2.64, 4 Nb 2.64
Os1 0.2500 0.2500 0.7500  4 Nb 2.64, 4 Cu 2.64
Os2 0.2500 0.7500 0.2500  4 Nb 2.64, 4 Cu 2.64
Os3 0.7500 0.2500 0.2500  4 Nb 2.64, 4 Cu 2.64
Os4 0.7500 0.7500 0.7500  4 Nb 2.64, 4 Cu 2.64

SG ... F-43m (216)
E_tot ... -7.77 eV per atom
Fermi-level density of states ... 8.58 states/eV/cell
ΔH_f (0 K) ... 0.019 eV/atom


Entry 8:
## NbCuNiPt (PBE)

Data for crystalline NbCuNiPt at its relaxed geometry.

Cell lengths 6.1355, 6.1355, 6.1355 Å; angles 90.00, 90.00, 90.00 degrees
With the nearest neighbours (Å) after each atom.
Fractional coordinates of all 16 atoms:
Nb1 0.0000 0.0000 0.0000  4 Ni 2.66, 4 Pt 2.66
Nb2 0.0000 0.5000 0.5000  4 Ni 2.66, 4 Pt 2.66
Nb3 0.5000 0.0000 0.5000  4 Ni 2.66, 4 Pt 2.66
Nb4 0.5000 0.5000 0.0000  4 Ni 2.66, 4 Pt 2.66
Cu1 0.0000 0.0000 0.5000  4 Pt 2.66, 4 Ni 2.66
Cu2 0.0000 0.5000 0.0000  4 Pt 2.66, 4 Ni 2.66
Cu3 0.5000 0.0000 0.0000  4 Pt 2.66, 4 Ni 2.66
Cu4 0.5000 0.5000 0.5000  4 Pt 2.66, 4 Ni 2.66
Ni1 0.2500 0.2500 0.7500  4 Nb 2.66, 4 Cu 2.66
Ni2 0.2500 0.7500 0.2500  4 Nb 2.66, 4 Cu 2.66
Ni3 0.7500 0.2500 0.2500  4 Nb 2.66, 4 Cu 2.66
Ni4 0.7500 0.7500 0.7500  4 Nb 2.66, 4 Cu 2.66
Pt1 0.2500 0.2500 0.2500  4 Nb 2.66, 4 Cu 2.66
Pt2 0.2500 0.7500 0.7500  4 Nb 2.66, 4 Cu 2.66
Pt3 0.7500 0.2500 0.7500  4 Nb 2.66, 4 Cu 2.66
Pt4 0.7500 0.7500 0.2500  4 Nb 2.66, 4 Cu 2.66

SG ... F-43m (216)
E_tot ... -6.75 eV per atom
Fermi-level density of states ... 13.12 states/eV/cell
ΔH_f (0 K) ... -0.250 eV/atom